A | {
  "formula": "HgRh2W2",
  "functional": "PBE-GGA",
  "state": "relaxed",
  "lattice_angstrom": [[-4.256, -0.816, 6.394], [-1.660, -7.265, -2.032], [2.249, -0.900, 1.382]],
  "species": ["W", "W", "W", "W", "Rh", "Rh", "Rh", "Rh", "Hg", "Hg"],
  "frac_coords": [[0.835, 0.335, 0.500], [0.165, 0.665, 0.500], [0.665, 0.835, 0.500], [0.335, 0.165, 0.500], [0.373, 0.873, 0.000], [0.127, 0.373, 0.000], [0.627, 0.127, 0.000], [0.873, 0.627, 0.000], [0.000, 0.000, 0.000], [0.500, 0.500, 0.000]],
  "space_group": "No. 127"
}

B | {
  "formula": "HgRh2W2",
  "functional": "PBE-GGA",
  "state": "relaxed",
  "lattice_angstrom": [[-3.802, 5.262, -4.335], [2.752, -3.357, -6.488], [-2.225, -1.672, -0.078]],
  "species": ["Rh", "Rh", "Rh", "Rh", "W", "W", "W", "W", "Hg", "Hg"],
  "frac_coords": [[0.831, 0.331, 0.500], [0.669, 0.831, 0.500], [0.169, 0.669, 0.500], [0.331, 0.169, 0.500], [0.618, 0.118, 0.000], [0.882, 0.618, 0.000], [0.382, 0.882, 0.000], [0.118, 0.382, 0.000], [0.000, 0.000, 0.000], [0.500, 0.500, 0.000]],
  "space_group": "No. 127"
}

Which one sits at the bottom of the stability order? B does.

A | {
  "formula": "YHg3Rh",
  "functional": "PBE-GGA",
  "state": "relaxed",
  "lattice_angstrom": [[5.669, 0.000, 0.000], [0.000, 5.669, 0.000], [0.000, 0.000, 5.669]],
  "species": ["Hg", "Hg", "Hg", "Y", "Rh"],
  "frac_coords": [[0.000, 0.500, 0.000], [0.000, 0.000, 0.500], [0.500, 0.000, 0.000], [0.000, 0.000, 0.000], [0.500, 0.500, 0.500]],
  "space_group": "No. 221"
}

B | {
  "formula": "YHg3Rh",
  "functional": "PBE-GGA",
  "state": "relaxed",
  "lattice_angstrom": [[-0.058, -0.381, -5.120], [-4.484, -2.491, 0.236], [-2.501, 4.474, -0.304]],
  "species": ["Hg", "Hg", "Hg", "Y", "Rh"],
  "frac_coords": [[0.000, 0.500, 0.000], [0.000, 0.000, 0.500], [0.500, 0.000, 0.000], [0.500, 0.500, 0.500], [0.000, 0.000, 0.000]],
  "space_group": "No. 221"
}

Which one sits at the bottom of the stability order? A does.

A | {
  "formula": "ZnHg3Rh",
  "functional": "PBE-GGA",
  "state": "relaxed",
  "lattice_angstrom": [[-3.592, -3.207, 2.157], [3.496, -3.951, -0.052], [1.647, 1.394, 4.815]],
  "species": ["Rh", "Hg", "Hg", "Hg", "Zn"],
  "frac_coords": [[0.000, 0.000, 0.000], [0.500, 0.000, 0.000], [0.000, 0.000, 0.500], [0.000, 0.500, 0.000], [0.500, 0.500, 0.500]],
  "space_group": "No. 221"
}

B | {
  "formula": "ZnHg3Rh",
  "functional": "PBE-GGA",
  "state": "relaxed",
  "lattice_angstrom": [[4.976, 0.000, 0.000], [0.000, 4.976, 0.000], [0.000, 0.000, 4.976]],
  "species": ["Hg", "Hg", "Hg", "Rh", "Zn"],
  "frac_coords": [[0.000, 0.500, 0.000], [0.500, 0.000, 0.000], [0.000, 0.000, 0.500], [0.500, 0.500, 0.500], [0.000, 0.000, 0.000]],
  "space_group": "No. 221"
}

Which one sits at the bottom of the stability order? B does.

A | {
  "formula": "Hg3Ru",
  "functional": "PBE-GGA",
  "state": "relaxed",
  "lattice_angstrom": [[-4.387, -2.785, 1.110], [1.581, -0.478, 5.050], [-2.547, 4.500, 1.224]],
  "species": ["Hg", "Hg", "Hg", "Ru"],
  "frac_coords": [[0.000, 0.500, 0.000], [0.000, 0.000, 0.500], [0.500, 0.000, 0.000], [0.000, 0.000, 0.000]],
  "space_group": "No. 221"
}

B | {
  "formula": "Hg3Ru",
  "functional": "PBE-GGA",
  "state": "relaxed",
  "lattice_angstrom": [[-2.105, 2.105, 8.854], [2.105, -2.105, 8.854], [2.105, 2.105, -8.854]],
  "species": ["Ru", "Ru", "Hg", "Hg", "Hg", "Hg", "Hg", "Hg"],
  "frac_coords": [[0.386, 0.386, 0.000], [0.614, 0.614, 0.000], [0.250, 0.750, 0.500], [0.000, 0.500, 0.500], [0.750, 0.250, 0.500], [0.873, 0.873, 0.000], [0.127, 0.127, 0.000], [0.500, 0.000, 0.500]],
  "space_group": "No. 139"
}

Which one sits at the bottom of the stability order? A does.